Record 1
Entry from Alexandria via LeMat-Bulk: a relaxed SrRu2Br crystal (PBEsol). Values from VASP.

Cell and atoms, written as Quantum ESPRESSO input:
```
&SYSTEM
  ibrav = 0, nat = 4, ntyp = 3
/
ATOMIC_SPECIES
Ru 101.07 Ru.upf
Sr 87.62 Sr.upf
Br 79.90 Br.upf
CELL_PARAMETERS angstrom
3.5134 -0.0071 0.0000
-0.0472 4.4851 0.0000
0.0000 0.0000 5.2198
ATOMIC_POSITIONS crystal
Ru 0.3788 0.2498 0.0000
Ru 0.6212 0.7502 0.0000
Sr 0.0000 0.5000 0.5000
Br 0.5000 0.0000 0.5000
```

Computed properties:
M_tot = 0.00 μB per cell
Electronic total energy = -5.540 eV per atom
Formation energy without anion corrections = 1.89 eV/f.u.
Space group = P2/m (10)

Record 2
Entry from Alexandria via LeMat-Bulk: a relaxed SrRuBr2 crystal (PBEsol). Values from VASP.

Cell and atoms, written as Quantum ESPRESSO input:
```
&SYSTEM
  ibrav = 0, nat = 4, ntyp = 3
/
ATOMIC_SPECIES
Ru 101.07 Ru.upf
Br 79.90 Br.upf
Sr 87.62 Sr.upf
CELL_PARAMETERS angstrom
-3.0902 0.5533 -1.9270
-0.7785 -5.0772 -0.2093
-1.3770 0.2067 5.7881
ATOMIC_POSITIONS crystal
Ru 0.5494 0.4086 0.0987
Br 0.9766 0.1505 0.9531
Br 0.7243 0.7191 0.4486
Sr 0.2498 0.2218 0.4995
```

Computed properties:
M_tot = 0.41 μB per cell
Electronic total energy = -4.331 eV per atom
Formation energy without anion corrections = -1.57 eV/f.u.
Space group = Cm (8)

Offset from the most stable computed form values, unit meV per atom, following the record order: 347 23.